(1)
Below is a relaxed structure of YMgOF2, with properties calculated at the PBE level.

## Properties
The total magnetization comes out at 0.83 μB per formula unit. As for the uncorrected formation energy: -44.680 kcal/mol of atoms.

Lattice parameters (Å, degrees): 4.130 4.130 6.912 90.00 90.00 90.00
Sites, in units of the cell vectors:
Y1 0.000 0.000 0.000
Mg1 0.000 0.000 0.500
O1 0.500 0.500 0.500
F1 0.000 0.500 0.000
F2 0.500 0.000 0.000



(2)
Below is a relaxed structure of YMgOF2, with properties calculated at the PBE level.

## Properties
The total magnetization comes out at 0.48 μB per formula unit. As for the uncorrected formation energy: -61.848 kcal/mol of atoms.

Lattice parameters (Å, degrees): 4.437 4.437 4.411 90.00 90.00 90.00
Sites, in units of the cell vectors:
Y1 0.000 0.000 0.000
Mg1 0.500 0.500 0.500
O1 0.000 0.000 0.500
F1 0.000 0.500 0.000
F2 0.500 0.000 0.000



(3)
Below is a relaxed structure of YMgOF2, with properties calculated at the PBE level.

## Properties
The total magnetization comes out at 0.00 μB per formula unit. As for the uncorrected formation energy: -64.006 kcal/mol of atoms.

Lattice parameters (Å, degrees): 3.824 3.824 4.230 90.00 90.00 90.00
Sites, in units of the cell vectors:
Y1 0.000 0.000 0.000
Mg1 0.500 0.500 0.500
O1 0.500 0.500 0.000
F1 0.000 0.500 0.500
F2 0.500 0.000 0.500



(4)
Below is a relaxed structure of YMgO2F, with properties calculated at the PBE level.

## Properties
The total magnetization comes out at 0.00 μB per formula unit. As for the uncorrected formation energy: -55.104 kcal/mol of atoms.

Lattice parameters (Å, degrees): 4.406 4.406 4.235 90.00 90.00 90.00
Sites, in units of the cell vectors:
Y1 0.000 0.000 0.000
Mg1 0.500 0.500 0.500
O1 0.000 0.500 0.000
O2 0.500 0.000 0.000
F1 0.000 0.000 0.500



(5)
Below is a relaxed structure of YMgO2F, with properties calculated at the PBE level.

## Properties
The total magnetization comes out at 0.00 μB per formula unit. As for the uncorrected formation energy: -67.750 kcal/mol of atoms.

Lattice parameters (Å, degrees): 3.959 3.959 3.660 90.00 90.00 90.00
Sites, in units of the cell vectors:
Y1 0.000 0.000 0.000
Mg1 0.500 0.500 0.500
O1 0.000 0.500 0.500
O2 0.500 0.000 0.500
F1 0.500 0.500 0.000



(6)
Below is a relaxed structure of MgZnO2F, with properties calculated at the PBE level.

## Properties
The total magnetization comes out at 1.01 μB per formula unit. As for the uncorrected formation energy: -30.354 kcal/mol of atoms.

Lattice parameters (Å, degrees): 3.920 3.920 3.783 90.00 90.00 90.00
Sites, in units of the cell vectors:
Mg1 0.000 0.000 0.000
Zn1 0.500 0.500 0.500
O1 0.000 0.500 0.000
O2 0.500 0.000 0.000
F1 0.000 0.000 0.500



(7)
Below is a relaxed structure of MgZnO2F, with properties calculated at the PBE level.

## Properties
The total magnetization comes out at 0.38 μB per formula unit. As for the uncorrected formation energy: -31.333 kcal/mol of atoms.

Lattice parameters (Å, degrees): 3.835 3.835 3.964 90.00 90.00 90.00
Sites, in units of the cell vectors:
Mg1 0.000 0.000 0.000
Zn1 0.500 0.500 0.500
O1 0.000 0.500 0.500
O2 0.500 0.000 0.500
F1 0.500 0.500 0.000



(8)
Below is a relaxed structure of MgZrO2F, with properties calculated at the PBE level.

## Properties
The total magnetization comes out at 0.65 μB per formula unit. As for the uncorrected formation energy: -52.086 kcal/mol of atoms.

Lattice parameters (Å, degrees): 3.939 3.939 3.559 90.00 90.00 90.00
Sites, in units of the cell vectors:
Mg1 0.000 0.000 0.000
Zr1 0.500 0.500 0.500
O1 0.000 0.500 0.000
O2 0.500 0.000 0.000
F1 0.000 0.000 0.500